Entry 1
Material: TbSnPb
Method: DFT, PBE
State: optimized geometry

CIF file:
```
data_TbSnPb
_symmetry_space_group_name_H-M 'C m m m'
_symmetry_Int_Tables_number 65
_symmetry_space_group_name_Hall '-C 2 2'
_cell_length_a 6.263
_cell_length_b 19.175
_cell_length_c 3.288
_cell_angle_alpha 90.00
_cell_angle_beta 90.00
_cell_angle_gamma 90.00
loop_
_atom_site_label
_atom_site_type_symbol
_atom_site_fract_x
_atom_site_fract_y
_atom_site_fract_z
Tb1 Tb 0.000 0.095 0.000
Sn1 Sn 0.000 0.258 0.000
Pb1 Pb 0.000 0.416 0.000
```

Spin magnetization   0.00 μB per formula unit

---

Entry 2
Material: TbSnPb
Method: DFT, PBE
State: optimized geometry

CIF file:
```
data_TbSnPb
_symmetry_space_group_name_H-M 'F -4 3 m'
_symmetry_Int_Tables_number 216
_symmetry_space_group_name_Hall 'F -4 2 3'
_cell_length_a 7.382
_cell_length_b 7.382
_cell_length_c 7.382
_cell_angle_alpha 90.00
_cell_angle_beta 90.00
_cell_angle_gamma 90.00
loop_
_atom_site_label
_atom_site_type_symbol
_atom_site_fract_x
_atom_site_fract_y
_atom_site_fract_z
Tb1 Tb 0.000 0.000 0.000
Sn1 Sn 0.250 0.250 0.750
Pb1 Pb 0.000 0.000 0.500
```

Spin magnetization   0.01 μB per formula unit

---

Which structure is most stable? entry 2, by 27.4 kJ/mol of atoms over the runner-up.